{
  "formula": "DyTlTe2",
  "functional": "GGA-PBEsol",
  "state": "relaxed",
  "lattice": [[4.3468, 0.0000, 0.0000], [-2.1734, 3.7645, 0.0000], [0.0000, 0.0000, 24.0194]],
  "species": ["Dy", "Dy", "Dy", "Tl", "Tl", "Tl", "Te", "Te", "Te", "Te", "Te", "Te"],
  "frac_coords": [[0.0000, 0.0000, 0.0000], [0.3333, 0.6667, 0.6667], [0.6667, 0.3333, 0.3333], [0.0000, 0.0000, 0.5000], [0.3333, 0.6667, 0.1667], [0.6667, 0.3333, 0.8333], [0.0000, 0.0000, 0.2605], [0.0000, 0.0000, 0.7395], [0.3333, 0.6667, 0.4061], [0.3333, 0.6667, 0.9272], [0.6667, 0.3333, 0.0728], [0.6667, 0.3333, 0.5939]],
  "e_form_raw_ev_per_atom": -1.01,
  "space_group": "No. 166",
  "dft_energy_ev_per_cell": -56.087
}

{
  "formula": "DyTl3",
  "functional": "GGA-PBEsol",
  "state": "relaxed",
  "lattice": [[4.6530, 0.0000, 0.0000], [0.0000, 4.6530, 0.0000], [0.0000, 0.0000, 4.6530]],
  "species": ["Dy", "Tl", "Tl", "Tl"],
  "frac_coords": [[0.0000, 0.0000, 0.0000], [0.0000, 0.5000, 0.5000], [0.5000, 0.0000, 0.5000], [0.5000, 0.5000, 0.0000]],
  "space_group": "No. 221",
  "dft_energy_ev_per_cell": -14.058
}

{
  "formula": "DyTlZn",
  "functional": "GGA-PBEsol",
  "state": "relaxed",
  "lattice": [[4.6090, 0.0000, 0.0000], [-2.3045, 3.9915, 0.0000], [0.0000, 0.0000, 7.1466]],
  "species": ["Dy", "Dy", "Tl", "Tl", "Zn", "Zn"],
  "frac_coords": [[0.0000, 0.0000, 0.0000], [0.0000, 0.0000, 0.5000], [0.3333, 0.6667, 0.2500], [0.6667, 0.3333, 0.7500], [0.3333, 0.6667, 0.7500], [0.6667, 0.3333, 0.2500]],
  "space_group": "No. 194",
  "dft_energy_ev_per_cell": -20.533
}

{
  "formula": "DyTm3",
  "functional": "GGA-PBEsol",
  "state": "relaxed",
  "lattice": [[7.0064, 0.0000, 0.0000], [-3.5032, 6.0678, 0.0000], [0.0000, 0.0000, 5.4487]],
  "species": ["Dy", "Dy", "Tm", "Tm", "Tm", "Tm", "Tm", "Tm"],
  "frac_coords": [[0.3333, 0.6667, 0.2500], [0.6667, 0.3333, 0.7500], [0.1663, 0.3325, 0.7500], [0.1663, 0.8337, 0.7500], [0.3325, 0.1663, 0.2500], [0.6675, 0.8337, 0.7500], [0.8337, 0.1663, 0.2500], [0.8337, 0.6675, 0.2500]],
  "space_group": "No. 194",
  "dft_energy_ev_per_cell": -39.318
}

{
  "formula": "Dy3V",
  "functional": "GGA-PBEsol",
  "state": "relaxed",
  "lattice": [[7.4127, 0.0000, 0.0000], [0.0000, 7.4127, 0.0000], [0.0000, 0.0000, 7.4127]],
  "species": ["Dy", "Dy", "Dy", "Dy", "Dy", "Dy", "Dy", "Dy", "Dy", "Dy", "Dy", "Dy", "V", "V", "V", "V"],
  "frac_coords": [[0.0000, 0.0000, 0.0000], [0.0000, 0.5000, 0.5000], [0.2500, 0.2500, 0.2500], [0.2500, 0.2500, 0.7500], [0.2500, 0.7500, 0.2500], [0.2500, 0.7500, 0.7500], [0.5000, 0.0000, 0.5000], [0.5000, 0.5000, 0.0000], [0.7500, 0.2500, 0.2500], [0.7500, 0.2500, 0.7500], [0.7500, 0.7500, 0.2500], [0.7500, 0.7500, 0.7500], [0.0000, 0.0000, 0.5000], [0.0000, 0.5000, 0.0000], [0.5000, 0.0000, 0.0000], [0.5000, 0.5000, 0.5000]],
  "space_group": "No. 225",
  "dft_energy_ev_per_cell": -92.542
}

{
  "formula": "DyY3",
  "functional": "GGA-PBEsol",
  "state": "relaxed",
  "lattice": [[7.1433, 0.0000, 0.0000], [-3.5716, 6.1863, 0.0000], [0.0000, 0.0000, 5.5659]],
  "species": ["Dy", "Dy", "Y", "Y", "Y", "Y", "Y", "Y"],
  "frac_coords": [[0.3333, 0.6667, 0.2500], [0.6667, 0.3333, 0.7500], [0.1672, 0.3344, 0.7500], [0.1672, 0.8328, 0.7500], [0.3344, 0.1672, 0.2500], [0.6656, 0.8328, 0.7500], [0.8328, 0.1672, 0.2500], [0.8328, 0.6656, 0.2500]],
  "space_group": "No. 194",
  "dft_energy_ev_per_cell": -50.827
}

{
  "formula": "DyZn3",
  "functional": "GGA-PBEsol",
  "state": "relaxed",
  "lattice": [[6.5544, 0.0000, 0.0000], [0.0000, 4.3088, 0.0000], [0.0000, 0.0000, 9.8665]],
  "species": ["Dy", "Dy", "Dy", "Dy", "Zn", "Zn", "Zn", "Zn", "Zn", "Zn", "Zn", "Zn", "Zn", "Zn", "Zn", "Zn"],
  "frac_coords": [[0.2231, 0.2500, 0.1608], [0.2769, 0.7500, 0.6608], [0.7231, 0.2500, 0.3392], [0.7769, 0.7500, 0.8392], [0.0378, 0.7500, 0.3944], [0.0798, 0.2500, 0.8540], [0.2205, 0.7500, 0.9558], [0.2795, 0.2500, 0.4558], [0.4202, 0.7500, 0.3540], [0.4622, 0.2500, 0.8944], [0.5378, 0.7500, 0.1056], [0.5798, 0.2500, 0.6460], [0.7205, 0.7500, 0.5442], [0.7795, 0.2500, 0.0442], [0.9202, 0.7500, 0.1460], [0.9622, 0.2500, 0.6056]],
  "space_group": "No. 62",
  "dft_energy_ev_per_cell": -44.870
}

{
  "formula": "DyZn",
  "functional": "GGA-PBEsol",
  "state": "relaxed",
  "lattice": [[3.4987, 0.0000, 0.0000], [0.0000, 3.4987, 0.0000], [0.0000, 0.0000, 3.4987]],
  "species": ["Dy", "Zn"],
  "frac_coords": [[0.0000, 0.0000, 0.0000], [0.5000, 0.5000, 0.5000]],
  "space_group": "No. 221",
  "dft_energy_ev_per_cell": -7.238
}

{
  "formula": "EuEr2O4",
  "functional": "GGA-PBEsol",
  "state": "relaxed",
  "lattice": [[9.7766, 0.0000, 0.0000], [0.0000, 3.3417, 0.0000], [0.0000, 0.0000, 11.7022]],
  "species": ["Eu", "Eu", "Eu", "Eu", "Er", "Er", "Er", "Er", "Er", "Er", "Er", "Er", "O", "O", "O", "O", "O", "O", "O", "O", "O", "O", "O", "O", "O", "O", "O", "O"],
  "frac_coords": [[0.2497, 0.2500, 0.1508], [0.2503, 0.7500, 0.6508], [0.7497, 0.2500, 0.3492], [0.7503, 0.7500, 0.8492], [0.0755, 0.2500, 0.8891], [0.0808, 0.2500, 0.3892], [0.4192, 0.7500, 0.8892], [0.4245, 0.7500, 0.3891], [0.5755, 0.2500, 0.6109], [0.5808, 0.2500, 0.1108], [0.9192, 0.7500, 0.6108], [0.9245, 0.7500, 0.1109], [0.0119, 0.7500, 0.7833], [0.0746, 0.2500, 0.5794], [0.1300, 0.7500, 0.0186], [0.2135, 0.7500, 0.3208], [0.2865, 0.2500, 0.8208], [0.3700, 0.2500, 0.5187], [0.4254, 0.7500, 0.0793], [0.4881, 0.2500, 0.2833], [0.5119, 0.7500, 0.7167], [0.5746, 0.2500, 0.9206], [0.6300, 0.7500, 0.4814], [0.7135, 0.7500, 0.1792], [0.7865, 0.2500, 0.6792], [0.8700, 0.2500, 0.9814], [0.9254, 0.7500, 0.4207], [0.9881, 0.2500, 0.2167]],
  "e_form_raw_ev_per_atom": -3.44,
  "space_group": "No. 62",
  "dft_energy_ev_per_cell": -261.971
}

{
  "formula": "EuEr2Se4",
  "functional": "GGA-PBEsol",
  "state": "relaxed",
  "lattice": [[12.1569, 0.0000, 0.0000], [0.0000, 4.0330, 0.0000], [0.0000, 0.0000, 14.5895]],
  "species": ["Eu", "Eu", "Eu", "Eu", "Er", "Er", "Er", "Er", "Er", "Er", "Er", "Er", "Se", "Se", "Se", "Se", "Se", "Se", "Se", "Se", "Se", "Se", "Se", "Se", "Se", "Se", "Se", "Se"],
  "frac_coords": [[0.2425, 0.2500, 0.1649], [0.2575, 0.7500, 0.6649], [0.7425, 0.2500, 0.3351], [0.7575, 0.7500, 0.8351], [0.0679, 0.2500, 0.3904], [0.0815, 0.2500, 0.9025], [0.4185, 0.7500, 0.4025], [0.4321, 0.7500, 0.8904], [0.5679, 0.2500, 0.1096], [0.5815, 0.2500, 0.5975], [0.9185, 0.7500, 0.0975], [0.9321, 0.7500, 0.6096], [0.0230, 0.7500, 0.7843], [0.0900, 0.2500, 0.5807], [0.1356, 0.7500, 0.0303], [0.2081, 0.7500, 0.3218], [0.2919, 0.2500, 0.8218], [0.3644, 0.2500, 0.5303], [0.4100, 0.7500, 0.0807], [0.4770, 0.2500, 0.2843], [0.5230, 0.7500, 0.7157], [0.5900, 0.2500, 0.9193], [0.6356, 0.7500, 0.4697], [0.7081, 0.7500, 0.1782], [0.7919, 0.2500, 0.6782], [0.8644, 0.2500, 0.9697], [0.9100, 0.7500, 0.4193], [0.9770, 0.2500, 0.2157]],
  "e_form_raw_ev_per_atom": -1.94,
  "space_group": "No. 62",
  "dft_energy_ev_per_cell": -197.589
}